A plane-wave DFT calculation with PBE was carried out for an optimized crystal structure of BaMg2In.

Output
As for the energy relative to the elements: 0.21 eV per formula unit. The total magnetization comes out at 0.00 μB per formula unit.

```
BaMg2In
1.0
-2.793 2.793 10.024
2.793 -2.793 10.024
2.793 2.793 -10.024
Ba Mg In
2 4 2
direct
0.000 0.000 0.000 Ba
0.750 0.250 0.500 Ba
0.329 0.625 0.204 Mg
0.375 0.579 0.704 Mg
0.421 0.125 0.796 Mg
0.875 0.671 0.296 Mg
0.250 0.750 0.500 In
0.500 0.500 0.000 In
```

***

A plane-wave DFT calculation with PBE was carried out for an optimized crystal structure of U2CoPt.

Output
As for the energy relative to the elements: 0.79 eV per formula unit. The total magnetization comes out at 3.09 μB per formula unit.

```
U2CoPt
1.0
1.479 0.854 9.695
-1.479 0.854 9.695
0.000 -1.708 9.695
U Co Pt
2 1 1
direct
0.094 0.094 0.094 U
0.906 0.906 0.906 U
0.500 0.500 0.500 Co
0.000 0.000 0.000 Pt
```

***

A plane-wave DFT calculation with PBE was carried out for an optimized crystal structure of CeNd6Sm10.

Output
As for the energy relative to the elements: 2.44 eV per formula unit. The total magnetization comes out at 1.08 μB per formula unit.

```
CeNd6Sm10
1.0
9.873 0.000 0.000
-4.937 8.551 0.000
0.000 0.000 6.989
Ce Nd Sm
1 6 10
direct
0.000 0.000 0.000 Ce
0.000 0.379 0.203 Nd
0.000 0.621 0.797 Nd
0.379 0.000 0.203 Nd
0.379 0.379 0.797 Nd
0.621 0.000 0.797 Nd
0.621 0.621 0.203 Nd
0.000 0.268 0.689 Sm
0.000 0.732 0.311 Sm
0.268 0.000 0.689 Sm
0.268 0.268 0.311 Sm
0.333 0.667 0.000 Sm
0.333 0.667 0.500 Sm
0.667 0.333 0.000 Sm
0.667 0.333 0.500 Sm
0.732 0.000 0.311 Sm
0.732 0.732 0.689 Sm
```